FeBiBrO2: optimized geometry, GGA+U.

Cell and atoms, written as POSCAR:
```
FeBiBrO2
1.0
4.279 0.000 0.000
0.000 6.609 -0.028
0.000 -0.231 7.346
Fe Bi Br O
2 2 2 4
direct
0.250 0.924 0.867
0.750 0.076 0.133
0.750 0.193 0.620
0.250 0.807 0.380
0.750 0.456 0.234
0.250 0.544 0.766
0.750 0.015 0.863
0.250 0.985 0.137
0.250 0.049 0.610
0.750 0.951 0.390
```

Calculated values
* volume: 20.77 Å³/atom
* crystal system: monoclinic
* density of states at the Fermi level: 0.00 states/eV/f.u.
* distance to the lowest polymorph of the same formula: 0 meV per atom